Entry w
Entry from Alexandria: a geometry-optimized AlFe4Hg2O2F structure (GGA+U).

The structure belongs to space group I4cm (No. 108); the cell edges are 8.086, 8.086 and 10.753 Å and the angles 90.00°, 90.00° and 90.00°. The inequivalent atoms are Al at (0.000, 0.000, 0.000), Fe at (0.008, 0.251, 0.312), Hg at (0.128, 0.372, 0.052), O at (0.241, 0.259, 0.790) and F at (0.000, 0.000, 0.171).

The calculation puts the spin magnetization at 57.5 μB per cell. The volume comes out at 17.6 A^3/atom. The density of states at the Fermi level is 3.53 states/eV/f.u.

***

Entry x
Entry from Alexandria: a geometry-optimized AlFe4Hg2O2F structure (GGA+U).

The structure belongs to space group I4cm (No. 108); the cell edges are 8.790, 8.790 and 9.345 Å and the angles 90.00°, 90.00° and 90.00°. The inequivalent atoms are Al at (0.000, 0.000, 0.000), Fe at (0.022, 0.253, 0.176), Hg at (0.226, 0.274, 0.449), O at (0.120, 0.380, 0.764) and F at (0.000, 0.000, 0.310).

The calculation puts the spin magnetization at 59.6 μB per cell. The volume comes out at 18.0 A^3/atom. The density of states at the Fermi level is 3.39 states/eV/f.u.

***

Relative stability in meV/atom, measured from the most stable structure: entry w 0; entry x 153

***

Entry w
Entry from Alexandria: a geometry-optimized AlFeOF2 structure (GGA+U).

The structure belongs to space group P4/mmm (No. 123); the cell edges are 3.825, 3.825 and 3.613 Å and the angles 90.00°, 90.00° and 90.00°. The inequivalent atoms are Al at (0.000, 0.000, 0.000), Fe at (0.500, 0.500, 0.500), O at (0.000, 0.000, 0.500) and F at (0.000, 0.500, 0.000).

The calculation puts the spin magnetization at 3.0 μB per cell. The volume comes out at 10.6 A^3/atom. The density of states at the Fermi level is 0.95 states/eV/f.u.

***

Entry x
Entry from Alexandria: a geometry-optimized AlFeOF2 structure (GGA+U).

The structure belongs to space group P4/mmm (No. 123); the cell edges are 4.183, 4.183 and 3.823 Å and the angles 90.00°, 90.00° and 90.00°. The inequivalent atoms are Al at (0.000, 0.000, 0.000), Fe at (0.500, 0.500, 0.500), O at (0.500, 0.500, 0.000) and F at (0.000, 0.500, 0.500).

The calculation puts the spin magnetization at 5.0 μB per cell. The volume comes out at 13.4 A^3/atom. The density of states at the Fermi level is 0.11 states/eV/f.u.

***

Relative stability in meV/atom, measured from the most stable structure: entry w 0; entry x 594